# Tl4I3F, relaxed, DFT GGA-PBE
data_Tl4I3F
_chemical_formula_sum 'Tl8 I6 F2'
_space_group_name_H-M_alt 'I m m m'
_space_group_IT_number 71
_space_group_name_Hall '-I 2 2'
_cell_length_a 4.848
_cell_length_b 8.112
_cell_length_c 16.601
_cell_angle_alpha 90.00
_cell_angle_beta 90.00
_cell_angle_gamma 90.00
loop_
_atom_site_label
_atom_site_fract_x
_atom_site_fract_y
_atom_site_fract_z
Tl1 0.000 0.236 0.111
I1 0.000 0.000 0.500
I2 0.000 0.500 0.291
F1 0.000 0.000 0.000
# Energy relative to the elements, uncorrected in eV/atom: -0.909
# Electronic total energy in eV per atom: -2.907